The following is a PBE calculation of Pu4As3N2 after structural relaxation, from Alexandria via LeMat-Bulk.

```
Pu4As3N2
1.0
6.3995 -1.9450 0.0000
6.3995 1.9450 0.0000
-4.7718 0.0000 7.3190
Pu As N
4 3 2
direct
0.1097 0.1097 0.4002
0.3090 0.3090 0.8873
0.6910 0.6910 0.1127
0.8903 0.8903 0.5998
0.0000 0.0000 0.0000
0.3941 0.3941 0.2983
0.6059 0.6059 0.7017
0.3112 0.3112 0.6417
0.6888 0.6888 0.3583
```

Values from the calculation:
formation energy without anion corrections	-1.00	eV/atom
total energy	-10.767	eV/atom


The following is a PBE calculation of Pu4As2N after structural relaxation, from Alexandria via LeMat-Bulk.

```
Pu4As2N
1.0
-2.2839 2.2839 7.7951
2.2839 -2.2839 7.7951
2.2839 2.2839 -7.7951
Pu As N
4 2 1
direct
0.0000 0.5000 0.5000
0.1724 0.1724 0.0000
0.5000 0.0000 0.5000
0.8276 0.8276 0.0000
0.3631 0.3631 0.0000
0.6369 0.6369 0.0000
0.0000 0.0000 0.0000
```

Values from the calculation:
formation energy without anion corrections	-0.86	eV/atom
total energy	-11.570	eV/atom


The following is a PBE calculation of Pu3AsN3 after structural relaxation, from Alexandria via LeMat-Bulk.

```
Pu3AsN3
1.0
8.5616 0.0000 0.0000
-4.2808 7.4145 0.0000
0.0000 0.0000 3.9428
Pu As N
6 2 6
direct
0.0772 0.6808 0.2500
0.3192 0.3964 0.2500
0.3964 0.0772 0.7500
0.6036 0.9228 0.2500
0.6808 0.6036 0.7500
0.9228 0.3192 0.7500
0.3333 0.6667 0.7500
0.6667 0.3333 0.2500
0.0387 0.3206 0.2500
0.2818 0.9613 0.2500
0.3206 0.2818 0.7500
0.6794 0.7182 0.2500
0.7182 0.0387 0.7500
0.9613 0.6794 0.7500
```

Values from the calculation:
formation energy without anion corrections	-1.02	eV/atom
total energy	-11.395	eV/atom


The following is a PBE calculation of Pu5As4N after structural relaxation, from Alexandria via LeMat-Bulk.

```
Pu5As4N
1.0
-4.4558 4.4558 2.8773
4.4558 -4.4558 2.8773
4.4558 4.4558 -2.8773
Pu As N
5 4 1
direct
0.0004 0.0004 0.0000
0.2360 0.4093 0.6453
0.4093 0.7640 0.1733
0.5907 0.2360 0.8267
0.7640 0.5907 0.3547
0.0856 0.6944 0.7800
0.3056 0.0856 0.3912
0.6944 0.9144 0.6088
0.9144 0.3056 0.2200
0.4995 0.4995 0.0000
```

Values from the calculation:
formation energy without anion corrections	-0.92	eV/atom
total energy	-10.774	eV/atom


The following is a PBE calculation of Pu3AsN3 after structural relaxation, from Alexandria via LeMat-Bulk.

```
Pu3AsN3
1.0
3.3008 1.9057 6.8094
-3.3008 1.9057 6.8094
0.0000 -3.8114 6.8094
Pu As N
6 2 6
direct
0.0546 0.4030 0.7446
0.2554 0.9454 0.5970
0.4030 0.7446 0.0546
0.5970 0.2554 0.9454
0.7446 0.0546 0.4030
0.9454 0.5970 0.2554
0.1664 0.1664 0.1664
0.8336 0.8336 0.8336
0.0557 0.7008 0.3700
0.2992 0.6300 0.9443
0.3700 0.0557 0.7008
0.6300 0.9443 0.2992
0.7008 0.3700 0.0557
0.9443 0.2992 0.6300
```

Values from the calculation:
formation energy without anion corrections	-1.13	eV/atom
total energy	-11.506	eV/atom


The following is a PBE calculation of Pu2AsN2 after structural relaxation, from Alexandria via LeMat-Bulk.

```
Pu2AsN2
1.0
0.0000 4.6629 5.0729
3.6534 0.0000 5.0729
3.6534 4.6629 0.0000
Pu As N
4 2 4
direct
0.0703 0.6797 0.0703
0.3203 0.9297 0.3203
0.6797 0.0703 0.6797
0.9297 0.3203 0.9297
0.3750 0.3750 0.3750
0.6250 0.6250 0.6250
0.0080 0.0080 0.7420
0.2580 0.2580 0.9920
0.7420 0.7420 0.0080
0.9920 0.9920 0.2580
```

Values from the calculation:
formation energy without anion corrections	-1.02	eV/atom
total energy	-11.014	eV/atom


The following is a PBE calculation of PuAsRhN after structural relaxation, from Alexandria via LeMat-Bulk.

```
PuAsRhN
1.0
3.9786 0.0000 0.0000
0.0000 3.9786 0.0000
0.0000 0.0000 8.3160
Pu As Rh N
2 2 2 2
direct
0.2500 0.2500 0.1282
0.7500 0.7500 0.8718
0.2500 0.2500 0.6735
0.7500 0.7500 0.3265
0.2500 0.7500 0.5000
0.7500 0.2500 0.5000
0.2500 0.7500 0.0000
0.7500 0.2500 0.0000
```

Values from the calculation:
formation energy without anion corrections	-0.99	eV/atom
total energy	-9.653	eV/atom


The following is a PBE calculation of PuAsRuN after structural relaxation, from Alexandria via LeMat-Bulk.

```
PuAsRuN
1.0
4.0198 0.0000 0.0000
0.0000 4.0198 0.0000
0.0000 0.0000 8.0669
Pu As Ru N
2 2 2 2
direct
0.2500 0.2500 0.1302
0.7500 0.7500 0.8698
0.2500 0.2500 0.6695
0.7500 0.7500 0.3305
0.2500 0.7500 0.5000
0.7500 0.2500 0.5000
0.2500 0.7500 0.0000
0.7500 0.2500 0.0000
```

Values from the calculation:
formation energy without anion corrections	-0.86	eV/atom
total energy	-10.008	eV/atom


The following is a PBE calculation of Pu4Sb2AsN2 after structural relaxation, from Alexandria via LeMat-Bulk.

```
Pu4Sb2AsN2
1.0
7.9875 -2.0315 0.0000
7.9875 2.0315 0.0000
-2.9277 0.0000 6.1816
Pu Sb As N
4 2 1 2
direct
0.0397 0.0397 0.2445
0.2825 0.2825 0.3338
0.7175 0.7175 0.6662
0.9603 0.9603 0.7555
0.3725 0.3725 0.9935
0.6275 0.6275 0.0065
0.5000 0.5000 0.5000
0.1810 0.1810 0.4860
0.8190 0.8190 0.5140
```

Values from the calculation:
formation energy without anion corrections	-0.97	eV/atom
total energy	-10.618	eV/atom


The following is a PBE calculation of Pu5Sb2AsN after structural relaxation, from Alexandria via LeMat-Bulk.

```
Pu5Sb2AsN
1.0
4.5787 0.0000 0.0000
0.0000 4.5787 0.0000
0.0000 0.0000 11.3013
Pu Sb As N
5 2 1 1
direct
0.0000 0.0000 0.0000
0.0000 0.5000 0.5000
0.5000 0.0000 0.5000
0.5000 0.5000 0.2552
0.5000 0.5000 0.7448
0.0000 0.0000 0.2891
0.0000 0.0000 0.7109
0.5000 0.5000 0.0000
0.5000 0.5000 0.5000
```

Values from the calculation:
formation energy without anion corrections	-0.73	eV/atom
total energy	-11.053	eV/atom


The following is a PBE calculation of Sr2Pu4As3N2 after structural relaxation, from Alexandria via LeMat-Bulk.

```
Sr2Pu4As3N2
1.0
-2.3130 2.3130 12.3426
2.3130 -2.3130 12.3426
2.3130 2.3130 -12.3426
Sr Pu As N
2 4 3 2
direct
0.1990 0.1990 0.0000
0.8010 0.8010 0.0000
0.0807 0.5807 0.5000
0.4193 0.9193 0.5000
0.5807 0.0807 0.5000
0.9193 0.4193 0.5000
0.3317 0.3317 0.0000
0.5000 0.5000 0.0000
0.6683 0.6683 0.0000
0.0934 0.0934 0.0000
0.9066 0.9066 0.0000
```

Values from the calculation:
formation energy without anion corrections	-1.05	eV/atom
total energy	-9.350	eV/atom


The following is a PBE calculation of Tb2PuAsN5 after structural relaxation, from Alexandria via LeMat-Bulk.

```
Tb2PuAsN5
1.0
1.6685 -7.6606 0.0000
1.6685 7.6606 0.0000
0.0000 0.0000 9.6804
Tb Pu As N
4 2 2 10
direct
0.1059 0.8941 0.5000
0.1165 0.8835 0.1336
0.8835 0.1165 0.6336
0.8941 0.1059 0.0000
0.2154 0.7846 0.8401
0.7846 0.2154 0.3401
0.4499 0.5501 0.2693
0.5501 0.4499 0.7693
0.0437 0.9563 0.8720
0.2915 0.7085 0.4923
0.3378 0.6622 0.1882
0.3573 0.6427 0.8258
0.4952 0.5048 0.6044
0.5048 0.4952 0.1044
0.6427 0.3573 0.3258
0.6622 0.3378 0.6882
0.7085 0.2915 0.9923
0.9563 0.0437 0.3720
```

Values from the calculation:
formation energy without anion corrections	-0.79	eV/atom
total energy	-8.555	eV/atom


The following is a PBE calculation of PuThAsN after structural relaxation, from Alexandria via LeMat-Bulk.

```
PuThAsN
1.0
4.2223 0.0000 0.0000
0.0000 4.2223 0.0000
0.0000 0.0000 9.9366
Pu Th As N
2 2 2 2
direct
0.2500 0.7500 0.0000
0.7500 0.2500 0.0000
0.2500 0.2500 0.3902
0.7500 0.7500 0.6098
0.2500 0.2500 0.7921
0.7500 0.7500 0.2079
0.2500 0.7500 0.5000
0.7500 0.2500 0.5000
```

Values from the calculation:
formation energy without anion corrections	-1.20	eV/atom
total energy	-9.877	eV/atom


The following is a PBE calculation of Pu2UAs2N2 after structural relaxation, from Alexandria via LeMat-Bulk.

```
Pu2UAs2N2
1.0
5.8978 -1.9501 0.0000
5.8978 1.9501 0.0000
-3.5358 0.0000 5.9287
Pu U As N
2 1 2 2
direct
0.1892 0.1892 0.2360
0.8108 0.8108 0.7640
0.0000 0.0000 0.5000
0.4358 0.4358 0.1579
0.5642 0.5642 0.8421
0.1907 0.1907 0.5826
0.8093 0.8093 0.4174
```

Values from the calculation:
formation energy without anion corrections	-1.16	eV/atom
total energy	-10.573	eV/atom


The following is a PBE calculation of PuUAsN after structural relaxation, from Alexandria via LeMat-Bulk.

```
PuUAsN
1.0
1.8476 1.0667 14.0410
-1.8476 1.0667 14.0410
0.0000 -2.1334 14.0410
Pu U As N
2 2 2 2
direct
0.2425 0.2425 0.2425
0.7575 0.7575 0.7575
0.0000 0.0000 0.0000
0.5000 0.5000 0.5000
0.3785 0.3785 0.3785
0.6215 0.6215 0.6215
0.1892 0.1892 0.1892
0.8108 0.8108 0.8108
```

Values from the calculation:
formation energy without anion corrections	-0.89	eV/atom
total energy	-10.539	eV/atom


The following is a PBE calculation of PuU2As2N2 after structural relaxation, from Alexandria via LeMat-Bulk.

```
PuU2As2N2
1.0
5.9559 -1.9195 0.0000
5.9559 1.9195 0.0000
-3.6218 0.0000 5.8717
Pu U As N
1 2 2 2
direct
0.0000 0.0000 0.0000
0.1870 0.1870 0.7432
0.8130 0.8130 0.2568
0.4311 0.4311 0.6498
0.5689 0.5689 0.3502
0.2146 0.2146 0.0952
0.7854 0.7854 0.9048
```

Values from the calculation:
formation energy without anion corrections	-1.12	eV/atom
total energy	-10.103	eV/atom


The following is a PBE calculation of PuUAs2N after structural relaxation, from Alexandria via LeMat-Bulk.

```
PuUAs2N
1.0
3.9279 0.0000 0.0000
0.0000 3.9279 0.0000
0.0000 0.0000 13.7680
Pu U As N
2 2 4 2
direct
0.2500 0.2500 0.1153
0.7500 0.7500 0.8847
0.2500 0.2500 0.5835
0.7500 0.7500 0.4165
0.2500 0.2500 0.3219
0.2500 0.2500 0.9043
0.7500 0.7500 0.0957
0.7500 0.7500 0.6781
0.2500 0.7500 0.5000
0.7500 0.2500 0.5000
```

Values from the calculation:
formation energy without anion corrections	-0.91	eV/atom
total energy	-9.558	eV/atom


The following is a PBE calculation of Rb3AsN after structural relaxation, from Alexandria via LeMat-Bulk.

```
Rb3AsN
1.0
5.7025 0.0000 0.0000
0.0000 5.7025 0.0000
0.0000 0.0000 5.7025
Rb As N
3 1 1
direct
0.0000 0.0000 0.5000
0.0000 0.5000 0.0000
0.5000 0.0000 0.0000
0.5000 0.5000 0.5000
0.0000 0.0000 0.0000
```

Values from the calculation:
formation energy without anion corrections	0.47	eV/atom
total energy	-2.710	eV/atom


The following is a PBE calculation of RbAs2N2 after structural relaxation, from Alexandria via LeMat-Bulk.

```
RbAs2N2
1.0
-2.1370 2.1370 5.8065
2.1370 -2.1370 5.8065
2.1370 2.1370 -5.8065
Rb As N
1 2 2
direct
0.0000 0.0000 0.0000
0.2500 0.7500 0.5000
0.7500 0.2500 0.5000
0.2702 0.2702 0.0000
0.7298 0.7298 0.0000
```

Values from the calculation:
formation energy without anion corrections	0.66	eV/atom
total energy	-4.721	eV/atom


The following is a PBE calculation of RbAsN after structural relaxation, from Alexandria via LeMat-Bulk.

```
RbAsN
1.0
4.4807 0.0000 0.0000
1.9225 4.1421 0.0000
1.4880 0.9366 9.2328
Rb As N
2 2 2
direct
0.0648 0.0627 0.2313
0.9352 0.9373 0.7687
0.3325 0.3327 0.4994
0.6675 0.6673 0.5006
0.4267 0.4266 0.0312
0.5733 0.5734 0.9688
```

Values from the calculation:
formation energy without anion corrections	-0.22	eV/atom
total energy	-4.864	eV/atom